Record 1
First-principles (PBE) data for an optimized crystal structure of Pm2Dy3Ho6Zr, as listed in the Alexandria database.

```
12
Lattice="3.049 -5.273 0.000 3.049 5.273 0.000 -2.018 0.000 11.463" Properties=species:S:1:pos:R:3 pbc="T T T"
Pm 3.049 3.514 0.000
Pm 3.049 -3.514 0.000
Dy -1.009 0.000 5.732
Dy 2.040 1.754 5.732
Dy 2.040 -1.754 5.732
Ho 0.031 1.721 8.632
Ho 1.064 0.000 2.828
Ho 0.031 -1.721 8.632
Ho 4.048 1.721 2.832
Ho 3.016 0.000 8.635
Ho 4.048 -1.721 2.832
Zr 3.049 0.000 0.000
```

ΔE_f = 0.050 eV per atom
Crystal system = monoclinic
Magnetization = 0.00 μB per formula unit

***

Record 2
First-principles (PBE) data for an optimized crystal structure of Pr4Dy7Ho, as listed in the Alexandria database.

```
12
Lattice="6.067 -2.977 0.000 6.067 2.977 0.000 -6.058 0.000 11.378" Properties=species:S:1:pos:R:3 pbc="T T T"
Pr -1.376 0.000 3.831
Pr 3.056 0.000 2.530
Pr 3.020 0.000 8.848
Pr 7.452 0.000 7.547
Dy 0.000 0.000 0.000
Dy -3.024 0.000 10.509
Dy -1.008 0.000 7.868
Dy 1.399 0.000 5.621
Dy 4.677 0.000 5.757
Dy 7.084 0.000 3.510
Dy 9.101 0.000 0.869
Ho 6.067 0.000 0.000
```

ΔE_f = 0.264 eV per atom
Crystal system = monoclinic
Energy relative to the lowest polymorph listed for this composition = 203.6 kJ/mol of formula units
Magnetization = 0.00 μB per formula unit

***

Record 3
First-principles (PBE) data for an optimized crystal structure of Pr3DyHo6, as listed in the Alexandria database.

```
20
Lattice="5.494 -9.461 0.000 5.494 9.461 0.000 0.000 0.000 6.357" Properties=species:S:1:pos:R:3 pbc="T T T"
Pr 5.494 7.343 3.178
Pr 3.557 2.145 5.683
Pr 3.557 -2.145 2.505
Pr 7.430 2.145 5.683
Pr 7.430 -2.145 2.505
Pr 5.494 -7.343 0.000
Dy 5.494 3.688 3.563
Dy 5.494 -3.688 0.384
Ho 2.638 3.974 1.920
Ho 1.839 0.868 3.036
Ho 1.839 -0.868 6.215
Ho 5.494 5.143 0.498
Ho 2.638 -3.974 5.098
Ho 5.494 0.736 1.916
Ho 5.494 -0.736 5.095
Ho 8.349 3.974 1.920
Ho 5.494 -5.143 3.677
Ho 9.149 0.868 3.036
Ho 9.149 -0.868 6.215
Ho 8.349 -3.974 5.098
```

ΔE_f = 0.150 eV per atom
Crystal system = orthorhombic
Energy relative to the lowest polymorph listed for this composition = 0.0 kJ/mol of formula units
Magnetization = 0.00 μB per formula unit

***

Record 4
First-principles (PBE) data for an optimized crystal structure of Pr3DyHo2, as listed in the Alexandria database.

```
12
Lattice="-5.755 5.845 3.210 5.755 -5.845 3.210 5.755 5.845 -3.210" Properties=species:S:1:pos:R:3 pbc="T T T"
Pr 2.417 0.000 0.000
Pr 9.093 0.000 0.000
Pr -2.877 2.922 1.605
Pr 2.417 5.845 0.000
Pr 2.877 2.922 1.605
Pr 3.338 0.000 3.210
Dy 5.755 -2.922 1.950
Dy 0.000 8.767 1.260
Ho 5.755 1.126 1.172
Ho 0.000 1.126 2.038
Ho 5.755 4.718 1.172
Ho 0.000 4.718 2.038
```

ΔE_f = 0.313 eV per atom
Crystal system = orthorhombic
Energy relative to the lowest polymorph listed for this composition = 117.2 kJ/mol of formula units
Magnetization = 0.00 μB per formula unit

***

Record 5
First-principles (PBE) data for an optimized crystal structure of PrDy5Ho7, as listed in the Alexandria database.

```
13
Lattice="-3.330 5.546 5.772 3.330 -5.546 5.772 3.330 5.546 -5.772" Properties=species:S:1:pos:R:3 pbc="T T T"
Pr 0.000 0.000 0.000
Dy 1.559 2.548 -2.326
Dy 5.100 2.548 -2.326
Dy -1.770 2.997 3.446
Dy 1.770 2.997 3.446
Dy 0.000 5.546 3.412
Ho 3.330 1.879 0.573
Ho 3.330 0.000 3.467
Ho 0.000 0.000 3.498
Ho 0.000 3.671 0.560
Ho 0.000 0.000 7.012
Ho 0.000 7.421 0.560
Ho 0.000 3.667 6.344
```

ΔE_f = 0.250 eV per atom
Crystal system = orthorhombic
Magnetization = 0.00 μB per formula unit

***

Record 6
First-principles (PBE) data for an optimized crystal structure of PrDy4Ho6, as listed in the Alexandria database.

```
11
Lattice="-3.837 3.837 6.454 3.837 -3.837 6.454 3.837 3.837 -6.454" Properties=species:S:1:pos:R:3 pbc="T T T"
Pr 0.000 0.000 0.000
Dy 2.565 2.565 -0.975
Dy 1.272 -1.272 7.429
Dy 1.272 1.272 5.479
Dy -1.272 1.272 7.429
Ho 3.837 0.000 0.000
Ho 1.924 -1.924 4.048
Ho 1.913 1.913 2.405
Ho 0.000 3.837 0.000
Ho -1.924 1.924 4.048
Ho 1.924 1.924 8.859
```

ΔE_f = 0.445 eV per atom
Crystal system = tetragonal
Energy relative to the lowest polymorph listed for this composition = 341.2 kJ/mol of formula units
Magnetization = 0.00 μB per formula unit